A:
K2Cd PBEsol relaxed; ρ = 2.45 Mg/m³
1.0
6.1865 0.0000 0.0000
-3.0933 5.3577 0.0000
0.0000 0.0000 7.8041
K Cd
4 2
direct
0.0000 0.0000 0.0000
0.0000 0.0000 0.5000
0.3333 0.6667 0.2500
0.6667 0.3333 0.7500
0.3333 0.6667 0.7500
0.6667 0.3333 0.2500

***

B:
K2Cd PBEsol relaxed; ρ = 2.42 Mg/m³
1.0
2.4281 -8.8808 0.0000
2.4281 8.8808 0.0000
0.0000 0.0000 6.0573
K Cd
4 2
direct
0.0634 0.9366 0.7500
0.2491 0.7509 0.2500
0.7509 0.2491 0.7500
0.9366 0.0634 0.2500
0.4022 0.5978 0.7500
0.5978 0.4022 0.2500

***

Result of the stability comparison: B is the least stable of them.

***

A:
K2Cd PBEsol relaxed; ρ = 2.29 Mg/m³
1.0
8.7576 -2.0345 0.0000
8.7576 2.0345 0.0000
-2.1930 0.0000 7.7654
K Cd
4 2
direct
0.1154 0.1154 0.0662
0.1543 0.1543 0.5971
0.8457 0.8457 0.4029
0.8846 0.8846 0.9338
0.4980 0.4980 0.6792
0.5020 0.5020 0.3208

***

B:
K2Cd PBEsol relaxed; ρ = 2.13 Mg/m³
1.0
0.0000 4.2023 4.2023
4.2023 0.0000 4.2023
4.2023 4.2023 0.0000
K Cd
2 1
direct
0.2500 0.2500 0.2500
0.7500 0.7500 0.7500
0.0000 0.0000 0.0000

***

Result of the stability comparison: B is the least stable of them.

***

A:
K2Cd PBEsol relaxed; ρ = 2.38 Mg/m³
1.0
8.2066 0.0000 0.0000
0.0000 5.7918 0.0000
0.0000 0.0000 11.2118
K Cd
8 4
direct
0.0397 0.2500 0.1915
0.1683 0.2500 0.5631
0.3317 0.7500 0.0631
0.4603 0.7500 0.6915
0.5397 0.2500 0.3085
0.6683 0.2500 0.9369
0.8317 0.7500 0.4369
0.9603 0.7500 0.8085
0.2278 0.2500 0.8801
0.2722 0.7500 0.3801
0.7278 0.2500 0.6199
0.7722 0.7500 0.1199

***

B:
K2Cd PBEsol relaxed; ρ = 2.25 Mg/m³
1.0
-2.0457 2.0457 16.8132
2.0457 -2.0457 16.8132
2.0457 2.0457 -16.8132
K Cd
4 2
direct
0.3095 0.5595 0.7500
0.4405 0.6905 0.7500
0.5595 0.3095 0.2500
0.6905 0.4405 0.2500
0.1250 0.8750 0.2500
0.8750 0.1250 0.7500

***

Result of the stability comparison: B is the least stable of them.

***

A:
K5Cd PBEsol relaxed; ρ = 1.57 Mg/m³
1.0
3.0599 -8.7448 0.0000
3.0599 8.7448 0.0000
0.0000 0.0000 6.1007
K Cd
5 1
direct
0.0000 0.0000 0.0000
0.1492 0.8508 0.5000
0.3497 0.6503 0.0000
0.6503 0.3497 0.0000
0.8508 0.1492 0.5000
0.5000 0.5000 0.5000

***

B:
K5Cd PBEsol relaxed; ρ = 1.56 Mg/m³
1.0
7.5107 0.0000 0.0000
-3.7554 6.5045 0.0000
0.0000 0.0000 6.7009
K Cd
5 1
direct
0.0000 0.3024 0.0000
0.3024 0.0000 0.0000
0.3333 0.6667 0.5000
0.6667 0.3333 0.5000
0.6976 0.6976 0.0000
0.0000 0.0000 0.5000

***

C:
K5Cd PBEsol relaxed; ρ = 1.49 Mg/m³
1.0
7.5985 -2.2575 0.0000
7.5985 2.2575 0.0000
-4.1593 0.0000 9.9965
K Cd
5 1
direct
0.0000 0.0000 0.0000
0.0338 0.0338 0.4092
0.3690 0.3690 0.6287
0.7034 0.7034 0.8463
0.7381 0.7381 0.2570
0.3679 0.3679 0.1270

***

Result of the stability comparison: B is the least stable of them.